## RbThGe (PBE)

Data for crystalline RbThGe at its relaxed geometry.

Lattice parameters (Å, degrees): 5.2606 5.2606 5.2606 60.00 60.00 60.00
Fractional positions:
Th 0.7500 0.7500 0.7500
Ge 0.0000 0.0000 0.0000
Rb 0.2500 0.2500 0.2500

As for the crystal system: cubic. The space-group type is F-43m. For the size of the total moment, the calculation gives 0.01 μB/atom.

***

## CdH2C2O4 (PBE)

Data for crystalline CdH2C2O4 at its relaxed geometry.

Lattice parameters (Å, degrees): 5.9713 6.5927 11.3936 97.10 105.19 63.07
Fractional positions:
C 0.6279 0.1336 0.0985
O 0.7376 0.5113 0.4565
O 0.3713 0.0273 0.3795
H 0.9463 0.9721 0.7404
H 0.8219 0.4721 0.2404
Cd 0.1846 0.1790 0.5473
C 0.6630 0.3664 0.4015
C 0.9458 0.5397 0.2201
O 0.5663 0.3453 0.0944
Cd 0.1837 0.6790 0.0473
C 0.3370 0.6336 0.5985
O 0.6287 0.9727 0.6205
Cd 0.8154 0.8210 0.4527
H 0.4652 0.9227 0.8493
O 0.9810 0.5273 0.8795
O 0.3907 0.8239 0.2072
C 0.2654 0.9603 0.2799
O 0.1827 0.8453 0.5944
H 0.5348 0.0773 0.1507
O 0.6093 0.1761 0.7928
O 0.4337 0.6547 0.9056
O 0.2624 0.4887 0.5435
H 0.5386 0.5773 0.6507
H 0.1781 0.5279 0.7596
C 0.7346 0.0397 0.7201
O 0.0190 0.4727 0.1205
C 0.3721 0.8664 0.9015
O 0.2076 0.0113 0.9565
O 0.8173 0.1547 0.4056
O 0.0074 0.6761 0.2928
C 0.0542 0.4603 0.7799
H 0.4614 0.4227 0.3493
Cd 0.8163 0.3210 0.9527
O 0.7924 0.9887 0.0435
O 0.9926 0.3239 0.7072
H 0.0537 0.0279 0.2596

As for the crystal system: monoclinic. The space-group type is C2/c.

***

The following final energy values (in eV for the cell shown) correspond, in order, to the records above: -11.76 -217.62.